(1)
Below is a geometry-optimized RbCl2F8 structure, with properties calculated at the PBE level.

Properties
As for the total moment: 0.0 Bohr magnetons per cell. As for the formation energy without anion corrections: -11.7 eV/f.u. The value obtained for the total DFT energy (no corrections) is -31.33 eV per cell.

Cell: 5.424 6.533 6.542 Å, 73.51 86.01 86.12°
Element x y z (fractional)
Rb 0.000 0.000 0.000
Cl 0.273 0.379 0.379
Cl 0.727 0.621 0.621
F 0.241 0.550 0.554
F 0.271 0.148 0.606
F 0.272 0.608 0.151
F 0.301 0.209 0.207
F 0.699 0.791 0.793
F 0.728 0.392 0.849
F 0.729 0.852 0.394
F 0.759 0.450 0.446

=====

(2)
Below is a geometry-optimized Ag3Hg2Cl8 structure, with properties calculated at the PBE level.

Properties
As for the total moment: 0.0 Bohr magnetons per cell. As for the formation energy without anion corrections: -6.1 eV/f.u. The value obtained for the total DFT energy (no corrections) is -60.03 eV per cell.

Cell: 8.546 10.791 8.314 Å, 90.00 112.64 90.00°
Element x y z (fractional)
Ag 0.000 0.000 0.000
Ag 0.000 0.500 0.500
Ag 0.277 0.243 0.392
Ag 0.277 0.257 0.892
Ag 0.723 0.743 0.108
Ag 0.723 0.757 0.608
Hg 0.256 0.611 0.127
Hg 0.256 0.889 0.627
Hg 0.744 0.111 0.373
Hg 0.744 0.389 0.873
Cl 0.016 0.243 0.991
Cl 0.016 0.257 0.491
Cl 0.246 0.013 0.885
Cl 0.246 0.487 0.385
Cl 0.249 0.005 0.362
Cl 0.249 0.495 0.862
Cl 0.497 0.238 0.752
Cl 0.497 0.262 0.252
Cl 0.503 0.738 0.748
Cl 0.503 0.762 0.248
Cl 0.751 0.505 0.138
Cl 0.751 0.995 0.638
Cl 0.754 0.513 0.615
Cl 0.754 0.987 0.115
Cl 0.984 0.743 0.509
Cl 0.984 0.757 0.009

=====

(3)
Below is a geometry-optimized Tm3As2H structure, with properties calculated at the PBE level.

Properties
As for the total moment: 0.0 Bohr magnetons per cell. The value obtained for the total DFT energy (no corrections) is -63.95 eV per cell.

Cell: 6.719 6.719 8.008 Å, 107.30 107.30 49.34°
Element x y z (fractional)
Tm 0.041 0.959 0.750
Tm 0.334 0.337 0.418
Tm 0.337 0.334 0.918
Tm 0.663 0.666 0.082
Tm 0.666 0.663 0.582
Tm 0.959 0.041 0.250
As 0.168 0.171 0.085
As 0.171 0.168 0.585
As 0.829 0.832 0.415
As 0.832 0.829 0.915
H 0.452 0.548 0.750
H 0.548 0.452 0.250

=====

(4)
Below is a geometry-optimized Ba2Li3CaSn4 structure, with properties calculated at the PBE level.

Properties
As for the total moment: 0.0 Bohr magnetons per cell. The calculated formation energy comes out at -480 meV per atom. The value obtained for the total DFT energy (no corrections) is -32.40 eV per cell.

Cell: 4.683 4.683 13.524 Å, 90.00 90.00 90.00°
Element x y z (fractional)
Ba 0.000 0.500 0.226
Ba 0.500 0.000 0.774
Li 0.000 0.500 0.872
Li 0.500 0.000 0.128
Li 0.500 0.500 0.500
Ca 0.000 0.000 0.500
Sn 0.000 0.000 0.000
Sn 0.000 0.500 0.658
Sn 0.500 0.000 0.342
Sn 0.500 0.500 0.000

=====

(5)
Below is a geometry-optimized U2MnSb structure, with properties calculated at the PBE level.

Properties
As for the total moment: 0.0 Bohr magnetons per cell. As for the formation energy without anion corrections: -0.1 eV/f.u. As for the excess energy over the best structure of this formula in the dataset: 0 meV/atom. The value obtained for the total DFT energy (no corrections) is -72.02 eV per cell.

Cell: 5.012 5.012 9.224 Å, 90.00 90.00 136.57°
Element x y z (fractional)
U 0.167 0.833 0.550
U 0.167 0.833 0.950
U 0.833 0.167 0.050
U 0.833 0.167 0.450
Mn 0.277 0.723 0.250
Mn 0.723 0.277 0.750
Sb 0.444 0.556 0.750
Sb 0.556 0.444 0.250

=====

(6)
Below is a geometry-optimized Sr2Li2TaN4 structure, with properties calculated at the PBE level.

Properties
As for the total moment: 0.0 Bohr magnetons per cell. As for the formation energy without anion corrections: -5.7 eV/f.u. The value obtained for the total DFT energy (no corrections) is -58.08 eV per cell.

Cell: 6.332 6.332 6.055 Å, 109.72 109.72 30.00°
Element x y z (fractional)
Sr 0.137 0.137 0.068
Sr 0.863 0.863 0.932
Li 0.320 0.320 0.505
Li 0.680 0.680 0.495
Ta 0.000 0.000 0.500
N 0.186 0.186 0.680
N 0.482 0.482 0.721
N 0.518 0.518 0.279
N 0.814 0.814 0.320

=====

(7)
Below is a geometry-optimized Mg9Tl2Ga structure, with properties calculated at the PBE level.

Properties
As for the total moment: 0.0 Bohr magnetons per cell. The calculated formation energy comes out at -56 meV per atom. The value obtained for the total DFT energy (no corrections) is -22.78 eV per cell.

Cell: 4.474 4.474 13.308 Å, 90.00 90.00 90.00°
Element x y z (fractional)
Mg 0.000 0.000 0.000
Mg 0.000 0.000 0.328
Mg 0.000 0.000 0.672
Mg 0.000 0.500 0.156
Mg 0.000 0.500 0.500
Mg 0.000 0.500 0.844
Mg 0.500 0.000 0.156
Mg 0.500 0.000 0.500
Mg 0.500 0.000 0.844
Tl 0.500 0.500 0.329
Tl 0.500 0.500 0.671
Ga 0.500 0.500 0.000

=====

(8)
Below is a geometry-optimized ThScSi structure, with properties calculated at the PBE level.

Properties
As for the total moment: 0.0 Bohr magnetons per cell. As for the formation energy without anion corrections: -0.9 eV/f.u. As for the excess energy over the best structure of this formula in the dataset: 275 meV/atom. The value obtained for the total DFT energy (no corrections) is -120.69 eV per cell.

Cell: 12.214 6.858 5.656 Å, 90.00 90.00 90.00°
Element x y z (fractional)
Th 0.000 0.105 0.000
Th 0.166 0.464 0.729
Th 0.334 0.536 0.229
Th 0.500 0.895 0.500
Th 0.666 0.536 0.229
Th 0.834 0.464 0.729
Sc 0.000 0.589 0.236
Sc 0.167 0.936 0.512
Sc 0.333 0.064 0.012
Sc 0.500 0.411 0.736
Sc 0.667 0.064 0.012
Sc 0.833 0.936 0.512
Si 0.000 0.223 0.500
Si 0.167 0.810 0.041
Si 0.333 0.190 0.541
Si 0.500 0.777 0.000
Si 0.667 0.190 0.541
Si 0.833 0.810 0.041

=====

(9)
Below is a geometry-optimized ScCuOs2 structure, with properties calculated at the PBE level.

Properties
As for the total moment: 0.0 Bohr magnetons per cell. The calculated formation energy comes out at 67 meV per atom. As for the excess energy over the best structure of this formula in the dataset: 92 meV/atom. The value obtained for the total DFT energy (no corrections) is -32.62 eV per cell.

Cell: 4.598 4.598 4.598 Å, 126.99 126.99 78.27°
Element x y z (fractional)
Sc 0.000 0.000 0.000
Cu 0.250 0.750 0.500
Os 0.500 0.500 0.000
Os 0.750 0.250 0.500

=====

(10)
Below is a geometry-optimized Er2CdRh structure, with properties calculated at the PBE level.

Properties
As for the total moment: 0.0 Bohr magnetons per cell. The calculated formation energy comes out at -648 meV per atom. As for the excess energy over the best structure of this formula in the dataset: 0 meV/atom. The value obtained for the total DFT energy (no corrections) is -19.98 eV per cell.

Cell: 3.477 3.477 7.490 Å, 90.00 90.00 90.00°
Element x y z (fractional)
Er 0.000 0.000 0.217
Er 0.000 0.000 0.783
Cd 0.500 0.500 0.500
Rh 0.500 0.500 0.000

=====

(11)
Below is a geometry-optimized ZrZn5Ga2 structure, with properties calculated at the PBE level.

Properties
As for the total moment: 0.0 Bohr magnetons per cell. The calculated formation energy comes out at -159 meV per atom. The value obtained for the total DFT energy (no corrections) is -22.24 eV per cell.

Cell: 4.228 5.596 5.757 Å, 74.79 89.96 89.94°
Element x y z (fractional)
Zr 0.000 0.000 0.000
Zn 0.000 0.068 0.498
Zn 0.000 0.574 0.572
Zn 0.500 0.286 0.682
Zn 0.500 0.681 0.282
Zn 0.501 0.783 0.754
Ga 0.000 0.493 0.061
Ga 0.499 0.189 0.210

=====

(12)
Below is a geometry-optimized Tb5Sm6Dy structure, with properties calculated at the PBE level.

Properties
As for the total moment: 0.0 Bohr magnetons per cell. The calculated formation energy comes out at 13 meV per atom. As for the excess energy over the best structure of this formula in the dataset: 0 meV/atom. The value obtained for the total DFT energy (no corrections) is -55.92 eV per cell.

Cell: 6.225 6.225 11.883 Å, 94.99 94.99 119.97°
Element x y z (fractional)
Tb 0.000 0.000 0.000
Tb 0.167 0.833 0.500
Tb 0.333 0.667 0.000
Tb 0.667 0.333 0.000
Tb 0.833 0.167 0.500
Sm 0.084 0.417 0.250
Sm 0.250 0.250 0.750
Sm 0.417 0.084 0.250
Sm 0.583 0.916 0.750
Sm 0.750 0.750 0.250
Sm 0.916 0.583 0.750
Dy 0.500 0.500 0.500

=====

(13)
Below is a geometry-optimized Pm8Ge3Ir structure, with properties calculated at the PBE level.

Properties
As for the total moment: 0.0 Bohr magnetons per cell. The calculated formation energy comes out at -514 meV per atom. The value obtained for the total DFT energy (no corrections) is -66.88 eV per cell.

Cell: 8.676 8.676 8.676 Å, 131.73 131.73 70.66°
Element x y z (fractional)
Pm 0.122 0.122 0.487
Pm 0.122 0.635 0.000
Pm 0.365 0.365 0.487
Pm 0.365 0.878 0.000
Pm 0.635 0.122 0.000
Pm 0.635 0.635 0.513
Pm 0.878 0.365 0.000
Pm 0.878 0.878 0.513
Ge 0.250 0.750 0.500
Ge 0.500 0.500 0.000
Ge 0.750 0.250 0.500
Ir 0.000 0.000 0.000

=====

(14)
Below is a geometry-optimized CoAs3P structure, with properties calculated at the PBE level.

Properties
As for the total moment: 0.0 Bohr magnetons per cell. The calculated formation energy comes out at 615 meV per atom. As for the excess energy over the best structure of this formula in the dataset: 0 meV/atom. The value obtained for the total DFT energy (no corrections) is -23.39 eV per cell.

Cell: 4.552 4.552 4.552 Å, 90.00 90.00 90.00°
Element x y z (fractional)
Co 0.000 0.000 0.000
As 0.000 0.000 0.500
As 0.000 0.500 0.000
As 0.500 0.000 0.000
P 0.500 0.500 0.500

=====

(15)
Below is a geometry-optimized MgTl2Cd structure, with properties calculated at the PBE level.

Properties
As for the total moment: 0.0 Bohr magnetons per cell. The calculated formation energy comes out at 125 meV per atom. As for the excess energy over the best structure of this formula in the dataset: 131 meV/atom. The value obtained for the total DFT energy (no corrections) is -6.74 eV per cell.

Cell: 7.751 7.751 7.751 Å, 32.01 32.01 32.01°
Element x y z (fractional)
Mg 0.000 0.000 0.000
Tl 0.583 0.583 0.583
Tl 0.751 0.751 0.751
Cd 0.167 0.167 0.167

=====

(16)
Below is a geometry-optimized Co2TeN structure, with properties calculated at the PBE level.

Properties
As for the total moment: 1.6 Bohr magnetons per cell. As for the formation energy without anion corrections: 3.9 eV/f.u. As for the excess energy over the best structure of this formula in the dataset: 888 meV/atom. The value obtained for the total DFT energy (no corrections) is -21.82 eV per cell.

Cell: 4.133 4.133 4.133 Å, 60.00 60.00 60.00°
Element x y z (fractional)
Co 0.250 0.250 0.250
Co 0.750 0.750 0.750
Te 0.000 0.000 0.000
N 0.500 0.500 0.500

=====

(17)
Below is a geometry-optimized TlVZn2Sn structure, with properties calculated at the PBE level.

Properties
As for the total moment: 0.1 Bohr magnetons per cell. The calculated formation energy comes out at 1343 meV per atom. The value obtained for the total DFT energy (no corrections) is -11.32 eV per cell.

Cell: 4.903 4.903 6.008 Å, 90.00 90.00 90.00°
Element x y z (fractional)
Tl 0.000 0.000 0.000
V 0.500 0.500 0.500
Zn 0.000 0.500 0.000
Zn 0.500 0.000 0.000
Sn 0.000 0.000 0.500

=====

(18)
Below is a geometry-optimized Ba4Zn structure, with properties calculated at the PBE level.

Properties
As for the total moment: 0.3 Bohr magnetons per cell. The calculated formation energy comes out at -55 meV per atom. As for the excess energy over the best structure of this formula in the dataset: 0 meV/atom. The value obtained for the total DFT energy (no corrections) is -9.24 eV per cell.

Cell: 14.624 14.624 14.624 Å, 163.30 163.30 23.70°
Element x y z (fractional)
Ba 0.067 0.067 0.000
Ba 0.310 0.310 0.000
Ba 0.690 0.690 0.000
Ba 0.933 0.933 0.000
Zn 0.500 0.500 0.000

=====

(19)
Below is a geometry-optimized Pm4AgSe5 structure, with properties calculated at the PBE level.

Properties
As for the total moment: 0.0 Bohr magnetons per cell. As for the formation energy without anion corrections: -15.6 eV/f.u. The value obtained for the total DFT energy (no corrections) is -54.88 eV per cell.

Cell: 17.035 17.035 17.035 Å, 14.20 14.20 14.20°
Element x y z (fractional)
Pm 0.102 0.102 0.102
Pm 0.299 0.299 0.299
Pm 0.701 0.701 0.701
Pm 0.898 0.898 0.898
Ag 0.500 0.500 0.500
Se 0.000 0.000 0.000
Se 0.199 0.199 0.199
Se 0.401 0.401 0.401
Se 0.599 0.599 0.599
Se 0.801 0.801 0.801

=====

(20)
Below is a geometry-optimized Nb3ReW structure, with properties calculated at the PBE level.

Properties
As for the total moment: 0.0 Bohr magnetons per cell. The calculated formation energy comes out at 1635 meV per atom. As for the excess energy over the best structure of this formula in the dataset: 1812 meV/atom. The value obtained for the total DFT energy (no corrections) is -47.43 eV per cell.

Cell: 4.779 4.779 4.779 Å, 90.00 90.00 90.00°
Element x y z (fractional)
Nb 0.000 0.000 0.500
Nb 0.000 0.500 0.000
Nb 0.500 0.000 0.000
Re 0.000 0.000 0.000
W 0.500 0.500 0.500